# 1
Compound: Ce8ZnGa2
Source: the Alexandria database
Functional: PBE
Structure: optimized geometry

Unit cell a=5.2795 b=7.4504 c=8.4049 alpha=120.19 beta=108.30 gamma=90.00
Last column: magnetic moment on the atom in μB.
Sites, in units of the cell vectors:
1 Zn 0.5000 0.0000 0.0000  0.00
2 Ce 0.9901 0.2668 0.9803  0.15
3 Ce 0.0099 0.7332 0.0197  0.15
4 Ce 0.8561 0.8309 0.7123  0.12
5 Ce 0.1439 0.1691 0.2877  0.12
6 Ce 0.3757 0.2012 0.7513  0.11
7 Ga 0.7956 0.2821 0.5911  0.00
8 Ga 0.2044 0.7179 0.4089  0.00
9 Ce 0.3379 0.5182 0.6758  0.08
10 Ce 0.6243 0.7988 0.2487  0.11
11 Ce 0.6621 0.4818 0.3242  0.08

total DFT energy (no corrections) = -56.758 eV per cell
energy relative to the elements = -178 meV per atom
D(E_F) = 2.50 states/eV/atom
space group = C2/m

# 2
Compound: Ce2ZnGa
Source: the Alexandria database
Functional: PBE
Structure: optimized geometry

Unit cell a=6.2808 b=6.2793 c=6.2793 alpha=62.50 beta=59.99 gamma=59.99
Sites, in units of the cell vectors:
1 Ga 0.7500 0.7833 0.7167
2 Ce 0.2326 0.2674 0.7674
3 Ce 0.7674 0.7326 0.2326
4 Zn 0.2500 0.7881 0.7119
5 Ce 0.7326 0.2674 0.7674
6 Ga 0.2500 0.2167 0.2833
7 Zn 0.7500 0.2119 0.2881
8 Ce 0.2674 0.7326 0.2326

total DFT energy (no corrections) = -35.152 eV per cell
energy relative to the elements = -352 meV per atom
D(E_F) = 1.70 states/eV/atom
space group = Imma

# 3
Compound: Ce3Zn2Ga3
Source: the Alexandria database
Functional: PBE
Structure: optimized geometry

Unit cell a=4.4999 b=5.7648 c=14.7989 alpha=90.00 beta=90.00 gamma=112.97
Last column: magnetic moment on the atom in μB.
Sites, in units of the cell vectors:
1 Ce 0.9028 0.8055 0.3897  0.68
2 Ga 0.3899 0.7799 0.5389  -0.01
3 Ce 0.3707 0.7414 0.7500  0.86
4 Ce 0.0972 0.1945 0.8897  0.68
5 Ga 0.3361 0.6721 0.2500  -0.02
6 Ce 0.0972 0.1945 0.6103  0.68
7 Ga 0.6101 0.2201 0.4611  -0.01
8 Zn 0.2037 0.4074 0.0964  0.00
9 Ga 0.6101 0.2201 0.0389  -0.01
10 Zn 0.7963 0.5926 0.9036  0.00
11 Ce 0.9028 0.8055 0.1103  0.68
12 Ce 0.6293 0.2586 0.2500  0.86
13 Zn 0.7963 0.5926 0.5964  0.00
14 Zn 0.2037 0.4074 0.4036  0.00
15 Ga 0.6639 0.3279 0.7500  -0.02
16 Ga 0.3899 0.7799 0.9611  -0.01

total DFT energy (no corrections) = -66.186 eV per cell
energy relative to the elements = -458 meV per atom
D(E_F) = 1.86 states/eV/atom
space group = Cmcm

# 4
Compound: CeZn6Ga4
Source: the Alexandria database
Functional: PBE
Structure: optimized geometry

Unit cell a=4.2311 b=7.2869 c=7.2869 alpha=120.00 beta=90.00 gamma=90.00
Last column: magnetic moment on the atom in μB.
Sites, in units of the cell vectors:
1 Zn 0.0000 0.5375 0.4625  0.00
2 Ga 0.5000 0.3995 0.1997  0.00
3 Zn 0.0000 0.9250 0.4625  0.00
4 Ga 0.5000 0.8003 0.6005  0.00
5 Zn 0.5000 0.2043 0.4085  0.00
6 Zn 0.0000 0.5375 0.0750  0.00
7 Ga 0.5000 0.8003 0.1997  0.00
8 Zn 0.5000 0.2043 0.7957  0.00
9 Zn 0.5000 0.5915 0.7957  0.00
10 Ga 0.0000 0.3333 0.6667  -0.01
11 Ce 0.0000 0.0000 0.0000  0.81

total DFT energy (no corrections) = -27.219 eV per cell
energy relative to the elements = -139 meV per atom
D(E_F) = 0.76 states/eV/atom
space group = P-6m2